The following is a PBE+U calculation of a geometry-optimized LiCo2O4 structure, from the Alexandria database.

Computed properties:
* final energy: -5.6750 eV/atom
* density of states at the Fermi level: 12.1 states/eV/cell
* space-group type: P6_3mc (186)

a = 5.6389 Å, b = 5.6389 Å, c = 9.1093 Å
α = 90.00°, β = 90.00°, γ = 120.00°
Closest atoms and distances in Å follow each position.
Fractional coordinates of all 28 atoms:
O (0.4780, 0.5220, 0.3376)  3 Co 1.91-1.93, 1 Li 1.91
O (0.1663, 0.3326, 0.6040)  1 Li 1.89, 3 Co 1.91-1.98
O (0.5220, 0.4780, 0.8376)  3 Co 1.91-1.93, 1 Li 1.91
O (0.8337, 0.1663, 0.1040)  1 Li 1.89, 3 Co 1.91-1.98
O (0.0000, 0.0000, 0.8086)  1 Li 1.73, 3 Co 1.88
O (0.1663, 0.8337, 0.6040)  1 Li 1.89, 3 Co 1.91-1.98
O (0.0439, 0.5220, 0.3376)  3 Co 1.91-1.93, 1 Li 1.91
O (0.3326, 0.1663, 0.1040)  1 Li 1.89, 3 Co 1.91-1.98
O (0.0000, 0.0000, 0.3086)  1 Li 1.73, 3 Co 1.88
O (0.9561, 0.4780, 0.8376)  3 Co 1.91-1.93, 1 Li 1.91
O (0.4780, 0.9561, 0.3376)  3 Co 1.91-1.93, 1 Li 1.91
O (0.8337, 0.6674, 0.1040)  1 Li 1.89, 3 Co 1.91-1.98
O (0.5220, 0.0439, 0.8376)  3 Co 1.91-1.93, 1 Li 1.91
O (0.6674, 0.8337, 0.6040)  1 Li 1.89, 3 Co 1.91-1.98
O (0.6667, 0.3333, 0.6047)  3 Co 1.87, 1 Li 1.92
O (0.3333, 0.6667, 0.1047)  3 Co 1.87, 1 Li 1.92
Co (0.1695, 0.3391, 0.2106)  6 O 1.87-1.91
Co (0.3333, 0.6667, 0.4817)  6 O 1.93-1.98
Co (0.6609, 0.8305, 0.2106)  6 O 1.87-1.91
Co (0.3391, 0.1695, 0.7106)  6 O 1.87-1.91
Co (0.1695, 0.8305, 0.2106)  6 O 1.87-1.91
Co (0.8305, 0.6609, 0.7106)  6 O 1.87-1.91
Co (0.8305, 0.1695, 0.7106)  6 O 1.87-1.91
Co (0.6667, 0.3333, 0.9817)  6 O 1.93-1.98
Li (0.0000, 0.0000, 0.4985)  4 O 1.73-1.89
Li (0.0000, 0.0000, 0.9985)  4 O 1.73-1.89
Li (0.3333, 0.6667, 0.8943)  4 O 1.91-1.92
Li (0.6667, 0.3333, 0.3943)  4 O 1.91-1.92